Entry 1:
The following is a PBE-GGA calculation of a relaxed structure of GdMgNi2, from the Alexandria database.

Cell and atoms, written as CIF:
```
data_GdMgNi2
_chemical_formula_sum 'Gd1 Mg1 Ni2'
_cell_length_a 4.5977
_cell_length_b 4.5977
_cell_length_c 3.2449
_cell_angle_alpha 90.00
_cell_angle_beta 90.00
_cell_angle_gamma 90.00
_symmetry_space_group_name_H-M 'P 4/m m m'
_symmetry_Int_Tables_number 123
_symmetry_space_group_name_Hall '-P 4 2'
loop_
_atom_site_label
_atom_site_fract_x
_atom_site_fract_y
_atom_site_fract_z
Gd1 0.0000 0.0000 0.0000
Mg1 0.5000 0.5000 0.0000
Ni1 0.0000 0.5000 0.5000
```

Summary:
- Calculated volume: 68.59 Å³ per cell
- DOS at the Fermi energy: 2.61 states/eV/cell
- ΔE_f: -0.205 eV per atom
- Energy relative to the lowest polymorph listed for this composition: 37 meV per atom

Entry 2:
The following is a PBE-GGA calculation of a relaxed structure of KB2Ru, from the Alexandria database.

Cell and atoms, written as CIF:
```
data_KB2Ru
_chemical_formula_sum 'K4 B8 Ru4'
_cell_length_a 6.0113
_cell_length_b 6.0113
_cell_length_c 6.0113
_cell_angle_alpha 90.00
_cell_angle_beta 90.00
_cell_angle_gamma 90.00
_symmetry_space_group_name_H-M 'F m -3 m'
_symmetry_Int_Tables_number 225
_symmetry_space_group_name_Hall '-F 4 2 3'
loop_
_atom_site_label
_atom_site_fract_x
_atom_site_fract_y
_atom_site_fract_z
K1 0.0000 0.0000 0.0000
B1 0.2500 0.2500 0.2500
Ru1 0.0000 0.0000 0.5000
```

Summary:
- Calculated volume: 217.23 Å³ per cell
- DOS at the Fermi energy: 13.01 states/eV/cell
- ΔE_f: 1.841 eV per atom
- Energy relative to the lowest polymorph listed for this composition: 1434 meV per atom

Entry 3:
The following is a PBE-GGA calculation of a relaxed structure of MnTl2Au, from the Alexandria database.

Cell and atoms, written as CIF:
```
data_MnTl2Au
_chemical_formula_sum 'Mn1 Tl2 Au1'
_cell_length_a 3.7471
_cell_length_b 4.5071
_cell_length_c 5.7712
_cell_angle_alpha 90.00
_cell_angle_beta 108.58
_cell_angle_gamma 90.00
_symmetry_space_group_name_H-M 'P 1 m 1'
_symmetry_Int_Tables_number 6
_symmetry_space_group_name_Hall 'P -2y'
loop_
_atom_site_label
_atom_site_fract_x
_atom_site_fract_y
_atom_site_fract_z
Mn1 0.0000 0.0000 0.0000
Tl1 0.2691 0.0000 0.5379
Tl2 0.5826 0.5000 0.1702
Au1 0.8600 0.5000 0.7240
```

Summary:
- Calculated volume: 92.39 Å³ per cell
- DOS at the Fermi energy: 2.62 states/eV/cell
- ΔE_f: 0.230 eV per atom
- Energy relative to the lowest polymorph listed for this composition: 88 meV per atom

Entry 4:
The following is a PBE-GGA calculation of a relaxed structure of ZnSbCl2, from the Alexandria database.

Cell and atoms, written as CIF:
```
data_ZnSbCl2
_chemical_formula_sum 'Zn4 Sb4 Cl8'
_cell_length_a 7.0851
_cell_length_b 7.0851
_cell_length_c 9.3380
_cell_angle_alpha 90.00
_cell_angle_beta 90.00
_cell_angle_gamma 90.00
_symmetry_space_group_name_H-M 'I -4 2 d'
_symmetry_Int_Tables_number 122
_symmetry_space_group_name_Hall 'I -4 2bw'
loop_
_atom_site_label
_atom_site_fract_x
_atom_site_fract_y
_atom_site_fract_z
Zn1 0.0000 0.0000 0.0000
Sb1 0.0000 0.0000 0.5000
Cl1 0.1175 0.2500 0.1250
```

Summary:
- Raw formation energy: -2.345 kcal/mol of atoms
- Calculated volume: 468.75 Å³ per cell
- DOS at the Fermi energy: 4.66 states/eV/cell
- Energy relative to the lowest polymorph listed for this composition: 447 meV per atom